[1]
TlAgSbSe2 PBE-GGA relaxed; crystal system = monoclinic
1.0
-5.395 2.400 0.933
-2.795 -5.658 -1.604
0.585 -1.654 7.640
Se Tl Ag Sb
4 2 2 2
Direct
0.680 0.248 0.577 Se
0.320 0.752 0.423 Se
0.680 0.752 0.923 Se
0.320 0.248 0.077 Se
0.131 0.500 0.750 Tl
0.869 0.500 0.250 Tl
0.000 0.000 0.500 Ag
0.000 0.000 0.000 Ag
0.386 0.000 0.750 Sb
0.614 0.000 0.250 Sb

=====

[2]
TlAgSbSe3 PBE-GGA relaxed; crystal system = monoclinic
1.0
4.049 0.000 0.000
0.000 9.074 0.578
0.000 -2.894 8.933
Se Ag Tl Sb
6 2 2 2
Direct
0.250 0.121 0.898 Se
0.750 0.879 0.102 Se
0.250 0.542 0.833 Se
0.250 0.760 0.453 Se
0.750 0.458 0.167 Se
0.750 0.240 0.547 Se
0.750 0.937 0.397 Ag
0.250 0.063 0.603 Ag
0.250 0.215 0.271 Tl
0.750 0.785 0.729 Tl
0.250 0.673 0.133 Sb
0.750 0.327 0.867 Sb

=====

[3]
UAgSbSe PBE-GGA relaxed; crystal system = tetragonal
1.0
4.438 0.000 0.000
0.000 4.438 0.000
0.000 0.000 9.488
Se U Ag Sb
2 2 2 2
Direct
0.500 0.500 0.500 Se
0.000 0.000 0.500 Se
0.500 0.000 0.697 U
0.000 0.500 0.303 U
0.000 0.000 0.000 Ag
0.500 0.500 0.000 Ag
0.000 0.500 0.806 Sb
0.500 0.000 0.194 Sb

=====

[4]
SiAg3Sb PBE-GGA relaxed; crystal system = cubic
1.0
5.208 0.000 0.000
0.000 5.208 0.000
0.000 0.000 5.208
Ag Sb Si
3 1 1
Direct
0.000 0.500 0.000 Ag
0.000 0.000 0.500 Ag
0.500 0.000 0.000 Ag
0.000 0.000 0.000 Sb
0.500 0.500 0.500 Si

=====

[5]
SiAg3Sb PBE-GGA relaxed; crystal system = cubic
1.0
4.851 0.000 0.000
0.000 4.851 0.000
0.000 0.000 4.851
Ag Si Sb
3 1 1
Direct
0.000 0.000 0.500 Ag
0.000 0.500 0.000 Ag
0.500 0.000 0.000 Ag
0.000 0.000 0.000 Si
0.500 0.500 0.500 Sb

=====

[6]
SiAg2Sb2 PBE-GGA relaxed; crystal system = tetragonal
1.0
8.434 0.000 0.000
0.000 8.434 0.000
0.000 0.000 3.212
Sb Ag Si
4 4 2
Direct
0.185 0.315 0.000 Sb
0.315 0.815 0.000 Sb
0.685 0.185 0.000 Sb
0.815 0.685 0.000 Sb
0.883 0.383 0.500 Ag
0.383 0.117 0.500 Ag
0.617 0.883 0.500 Ag
0.117 0.617 0.500 Ag
0.000 0.000 0.000 Si
0.500 0.500 0.000 Si

=====

[7]
SiAg4Sb PBE-GGA relaxed; crystal system = cubic
1.0
-0.747 1.187 5.369
-4.173 3.310 1.555
-4.345 -2.111 2.729
Ag Si Sb
4 1 1
Direct
0.876 0.375 0.375 Ag
0.375 0.375 0.876 Ag
0.375 0.876 0.375 Ag
0.375 0.375 0.375 Ag
0.000 0.000 0.000 Si
0.750 0.750 0.750 Sb

=====

[8]
Si2AgSb2 PBE-GGA relaxed; crystal system = tetragonal
1.0
3.488 0.000 0.000
0.000 3.488 0.000
1.744 1.744 8.834
Sb Ag Si
2 1 2
Direct
0.604 0.604 0.791 Sb
0.396 0.396 0.209 Sb
0.000 0.000 0.000 Ag
0.250 0.750 0.500 Si
0.750 0.250 0.500 Si

=====

[9]
SiAgSb4 PBE-GGA relaxed; crystal system = cubic
1.0
0.000 4.352 4.352
4.352 0.000 4.352
4.352 4.352 0.000
Sb Ag Si
4 1 1
Direct
0.375 0.375 0.375 Sb
0.375 0.874 0.375 Sb
0.874 0.375 0.375 Sb
0.375 0.375 0.874 Sb
0.000 0.000 0.000 Ag
0.750 0.750 0.750 Si

=====

[10]
Si2AgSb2 PBE-GGA relaxed; crystal system = tetragonal
1.0
-4.936 0.393 5.398
-0.575 -7.302 0.006
2.989 -0.233 2.751
Si Sb Ag
4 4 2
Direct
0.117 0.383 0.000 Si
0.617 0.117 0.000 Si
0.383 0.883 0.000 Si
0.883 0.617 0.000 Si
0.208 0.708 0.500 Sb
0.292 0.208 0.500 Sb
0.708 0.792 0.500 Sb
0.792 0.292 0.500 Sb
0.500 0.500 0.000 Ag
0.000 0.000 0.000 Ag

=====

[11]
Si3AgSb PBE-GGA relaxed; crystal system = cubic
1.0
-1.701 -4.545 -0.318
1.856 -0.381 -4.479
4.161 -1.688 1.868
Si Sb Ag
3 1 1
Direct
0.000 0.000 0.500 Si
0.500 0.000 0.000 Si
0.000 0.500 0.000 Si
0.500 0.500 0.500 Sb
0.000 0.000 0.000 Ag

=====

[12]
Ta2SiAgSb PBE-GGA relaxed; crystal system = tetragonal
1.0
-1.716 2.045 3.894
-4.426 -2.398 -0.692
1.560 -3.626 2.591
Ta Sb Ag Si
2 1 1 1
Direct
0.500 0.000 0.000 Ta
0.000 0.000 0.500 Ta
0.000 0.500 0.000 Sb
0.500 0.500 0.500 Ag
0.000 0.000 0.000 Si

=====

[13]
SiAgSbTe2 PBE-GGA relaxed; crystal system = tetragonal
1.0
-4.682 2.330 0.834
-2.435 -4.657 -0.657
0.439 -0.952 5.122
Ag Te Sb Si
1 2 1 1
Direct
0.500 0.500 0.500 Ag
0.000 0.500 0.000 Te
0.500 0.000 0.000 Te
0.000 0.000 0.500 Sb
0.000 0.000 0.000 Si

=====

[14]
SiAgSbTe2 PBE-GGA relaxed; crystal system = tetragonal
1.0
-2.534 -3.238 3.582
-2.250 -2.787 -4.111
4.096 -3.249 -0.039
Te Ag Si Sb
2 1 1 1
Direct
0.500 0.000 0.000 Te
0.000 0.500 0.000 Te
0.000 0.000 0.000 Ag
0.500 0.500 0.500 Si
0.000 0.000 0.500 Sb

=====

[15]
SiAg2SbTe4 PBE-GGA relaxed; crystal system = orthorhombic
1.0
6.779 0.144 0.000
-0.419 6.767 0.000
-3.180 -3.455 5.842
Te Si Sb Ag
4 1 1 2
Direct
0.600 0.600 0.747 Te
0.147 0.147 0.747 Te
0.402 0.839 0.241 Te
0.839 0.402 0.241 Te
0.500 0.500 0.999 Si
0.008 0.008 0.017 Sb
0.752 0.252 0.504 Ag
0.252 0.752 0.504 Ag

=====

[16]
TlSiAgSb2 PBE-GGA relaxed; crystal system = tetragonal
1.0
-1.395 -4.369 -3.377
4.426 -2.341 1.200
-2.554 -2.577 4.390
Si Ag Sb Tl
1 1 2 1
Direct
0.500 0.500 0.500 Si
0.000 0.500 0.000 Ag
0.500 0.000 0.000 Sb
0.000 0.000 0.500 Sb
0.000 0.000 0.000 Tl

=====

[17]
Sm8AgSb6 PBE-GGA relaxed; crystal system = trigonal
1.0
-3.965 1.555 -2.112
-4.728 -9.365 1.979
-0.678 7.931 7.114
Sb Sm Ag
6 8 1
Direct
0.248 0.637 0.111 Sb
0.752 0.525 0.637 Sb
0.752 0.111 0.475 Sb
0.248 0.889 0.525 Sb
0.752 0.363 0.889 Sb
0.248 0.475 0.363 Sb
0.252 0.734 0.702 Sm
0.748 0.266 0.298 Sm
0.749 0.667 0.333 Sm
0.252 0.298 0.032 Sm
0.748 0.032 0.734 Sm
0.252 0.968 0.266 Sm
0.251 0.333 0.667 Sm
0.748 0.702 0.968 Sm
0.500 0.000 0.000 Ag

=====

[18]
Sm8AgSb2 PBE-GGA relaxed; crystal system = monoclinic
1.0
-3.974 -2.061 -2.106
-0.873 -4.218 5.775
-3.331 8.724 3.560
Sm Ag Sb
8 1 2
Direct
0.406 0.509 0.812 Sm
0.015 0.766 0.030 Sm
0.594 0.491 0.188 Sm
0.786 0.660 0.572 Sm
0.658 0.017 0.316 Sm
0.214 0.340 0.428 Sm
0.985 0.234 0.970 Sm
0.342 0.983 0.684 Sm
0.500 0.000 0.000 Ag
0.818 0.237 0.636 Sb
0.182 0.763 0.364 Sb

=====

[19]
Sm6AgSb2 PBE-GGA relaxed; crystal system = orthorhombic
1.0
-1.919 -3.667 -0.328
7.272 -4.006 2.244
-5.627 2.404 6.043
Sm Sb Ag
6 2 1
Direct
0.000 0.000 0.260 Sm
0.500 0.593 0.000 Sm
0.500 0.407 0.407 Sm
0.000 0.261 0.000 Sm
0.000 0.739 0.740 Sm
0.500 0.000 0.593 Sm
0.000 0.333 0.666 Sb
0.000 0.667 0.334 Sb
0.500 0.000 0.000 Ag

=====

[20]
Sm4AgSb PBE-GGA relaxed; crystal system = orthorhombic
1.0
5.598 0.000 0.000
0.000 6.450 0.000
-2.799 0.000 10.550
Sb Sm Ag
2 8 2
Direct
0.151 0.322 0.303 Sb
0.849 0.822 0.697 Sb
0.880 0.322 0.759 Sm
0.292 0.069 0.583 Sm
0.441 0.822 0.882 Sm
0.559 0.322 0.118 Sm
0.708 0.569 0.417 Sm
0.292 0.575 0.583 Sm
0.708 0.075 0.417 Sm
0.120 0.822 0.241 Sm
0.421 0.322 0.841 Ag
0.579 0.822 0.159 Ag

=====

Number 1: ΔE_f (raw) -91 meV/atom, total moment 0.00 μB per atom. Number 2: ΔE_f (raw) -209 meV/atom, total moment 0.00 μB per atom. Number 3: ΔE_f (raw) -446 meV/atom, total moment 0.51 μB per atom. Number 4: ΔE_f (raw) 904 meV/atom, total moment 0.00 μB per atom. Number 5: ΔE_f (raw) 495 meV/atom, total moment 0.00 μB per atom. Number 6: ΔE_f (raw) 369 meV/atom, total moment 0.00 μB per atom. Number 7: ΔE_f (raw) 327 meV/atom, total moment 0.00 μB per atom. Number 8: ΔE_f (raw) 312 meV/atom, total moment 0.00 μB per atom. Number 9: ΔE_f (raw) 654 meV/atom, total moment 0.00 μB per atom. Number 10: ΔE_f (raw) 422 meV/atom, total moment 0.00 μB per atom. Number 11: ΔE_f (raw) 978 meV/atom, total moment 0.00 μB per atom. Number 12: ΔE_f (raw) 1082 meV/atom, total moment 0.00 μB per atom. Number 13: ΔE_f (raw) 600 meV/atom, total moment 0.00 μB per atom. Number 14: ΔE_f (raw) 898 meV/atom, total moment 0.00 μB per atom. Number 15: ΔE_f (raw) -1 meV/atom, total moment 0.00 μB per atom. Number 16: ΔE_f (raw) 1163 meV/atom, total moment 0.00 μB per atom. Number 17: ΔE_f (raw) -694 meV/atom, total moment 0.00 μB per atom. Number 18: ΔE_f (raw) -389 meV/atom, total moment 0.00 μB per atom. Number 19: ΔE_f (raw) -576 meV/atom, total moment 0.00 μB per atom. Number 20: ΔE_f (raw) -289 meV/atom, total moment 0.00 μB per atom.